# 1
Below is an optimized crystal structure of Ga2ReRh2, with properties calculated at the PBE level.

Cell and atoms, written as CIF:
```
data_Ga2ReRh2
_chemical_formula_sum 'Ga4 Re2 Rh4'
_cell_length_a 7.153
_cell_length_b 7.153
_cell_length_c 2.817
_cell_angle_alpha 90.00
_cell_angle_beta 90.00
_cell_angle_gamma 90.00
_symmetry_space_group_name_H-M 'P 1'
_symmetry_Int_Tables_number 1
loop_
_symmetry_equiv_pos_as_xyz
'x,y,z'
loop_
_atom_site_label
_atom_site_type_symbol
_atom_site_fract_x
_atom_site_fract_y
_atom_site_fract_z
Ga1 Ga 0.135 0.365 0.000
Ga2 Ga 0.365 0.865 0.000
Ga3 Ga 0.635 0.135 0.000
Ga4 Ga 0.865 0.635 0.000
Re1 Re 0.000 0.000 0.000
Re2 Re 0.500 0.500 0.000
Rh1 Rh 0.165 0.665 0.500
Rh2 Rh 0.335 0.165 0.500
Rh3 Rh 0.665 0.835 0.500
Rh4 Rh 0.835 0.335 0.500
```

As for the energy above the lowest structure with this stoichiometry: 0.00 eV per formula unit. The space group is P4/mbm. The crystal system is tetragonal.

# 2
Below is an optimized crystal structure of Ga2ReRh4, with properties calculated at the PBE level.

Cell and atoms, written as CIF:
```
data_Ga2ReRh4
_chemical_formula_sum 'Ga2 Re1 Rh4'
_cell_length_a 7.026
_cell_length_b 7.026
_cell_length_c 7.026
_cell_angle_alpha 140.47
_cell_angle_beta 140.47
_cell_angle_gamma 57.14
_symmetry_space_group_name_H-M 'P 1'
_symmetry_Int_Tables_number 1
loop_
_symmetry_equiv_pos_as_xyz
'x,y,z'
loop_
_atom_site_label
_atom_site_type_symbol
_atom_site_fract_x
_atom_site_fract_y
_atom_site_fract_z
Ga1 Ga 0.110 0.110 0.000
Ga2 Ga 0.890 0.890 0.000
Re1 Re 0.500 0.500 0.000
Rh1 Rh 0.000 0.500 0.500
Rh2 Rh 0.311 0.311 0.000
Rh3 Rh 0.500 0.000 0.500
Rh4 Rh 0.689 0.689 0.000
```

The total energy is -42.67 eV per cell. The space group is I4/mmm. The crystal system is tetragonal.

# 3
Below is an optimized crystal structure of GaRe3Rh, with properties calculated at the PBE level.

Cell and atoms, written as CIF:
```
data_GaRe3Rh
_chemical_formula_sum 'Ga1 Re3 Rh1'
_cell_length_a 4.459
_cell_length_b 4.459
_cell_length_c 4.459
_cell_angle_alpha 90.00
_cell_angle_beta 90.00
_cell_angle_gamma 90.00
_symmetry_space_group_name_H-M 'P 1'
_symmetry_Int_Tables_number 1
loop_
_symmetry_equiv_pos_as_xyz
'x,y,z'
loop_
_atom_site_label
_atom_site_type_symbol
_atom_site_fract_x
_atom_site_fract_y
_atom_site_fract_z
Ga1 Ga 0.000 0.000 0.000
Re1 Re 0.000 0.000 0.500
Re2 Re 0.000 0.500 0.000
Re3 Re 0.500 0.000 0.000
Rh1 Rh 0.500 0.500 0.500
```

As for the energy above the lowest structure with this stoichiometry: 0.00 eV per formula unit. The space group is Pm-3m. The crystal system is cubic.

The records above give, respectively, total magnetization values of 0.000, 0.000, 0.000 μB/atom.